DFT (PBE) results for a relaxed structure of Tb2Zn3Pd5.

Computed properties:
The value obtained for the density of states at the Fermi level is 18.922 states/eV/cell. As for the crystal system: orthorhombic. As for the formation energy: -14.43 kcal/mol of atoms.

Lattice parameters (Å, degrees): 11.2736 11.3344 5.7833 90.00 90.00 90.00
Last column: nearest neighbours and their distance in Å.
Space group Ibam (No. 72)
One atom of each set of equivalent atoms:
Tb1 0.2246 0.1314 0.0000 [8 per cell]  4 Pd 2.91-3.17, 3 Zn 3.12-3.15
Zn1 0.0000 0.5000 0.2500 [4 per cell]  6 Pd 2.59-2.62, 2 Zn 2.89
Zn2 0.1204 0.1374 0.5000 [8 per cell]  5 Pd 2.45-2.52
Pd1 0.0000 0.0000 0.2500 [4 per cell]  4 Zn 2.52
Pd2 0.0000 0.2712 0.2500 [8 per cell]  3 Zn 2.50-2.59, 2 Pd 2.77
Pd3 0.1655 0.3994 0.0000 [8 per cell]  3 Zn 2.45-2.62

DFT (PBE) results for a relaxed structure of NaSm3Pb12.

Computed properties:
The value obtained for the density of states at the Fermi level is 6.865 states/eV/cell. As for the crystal system: tetragonal. As for the formation energy: -6.67 kcal/mol of atoms.

Lattice parameters (Å, degrees): 4.8728 4.8728 19.9273 90.00 90.00 90.00
Last column: nearest neighbours and their distance in Å.
Space group P4/mmm (No. 123)
One atom of each set of equivalent atoms:
Na1 0.0000 0.0000 0.0000 [1 per cell]  12 Pb 3.45-3.47
Sm1 0.0000 0.0000 0.2544 [2 per cell]  12 Pb 3.43-3.57
Sm2 0.0000 0.0000 0.5000 [1 per cell]  12 Pb 3.45-3.48
Pb1 0.0000 0.5000 0.1237 [4 per cell]  8 Pb 3.45-3.48, 2 Na 3.47, 2 Sm 3.57
Pb2 0.0000 0.5000 0.3755 [4 per cell]  4 Sm 3.43-3.48, 8 Pb 3.45-3.52
Pb3 0.5000 0.5000 0.0000 [1 per cell]  4 Na 3.45, 8 Pb 3.47
Pb4 0.5000 0.5000 0.2484 [2 per cell]  4 Sm 3.45, 8 Pb 3.48-3.52
Pb5 0.5000 0.5000 0.5000 [1 per cell]  4 Sm 3.45, 8 Pb 3.48

DFT (PBE) results for a relaxed structure of TeS2IO8.

Computed properties:
The value obtained for the density of states at the Fermi level is 12.367 states/eV/cell. As for the crystal system: monoclinic. Its raw formation energy is -0.89 eV/atom.

Lattice parameters (Å, degrees): 8.4303 5.4688 11.0989 90.00 105.59 90.00
Last column: nearest neighbours and their distance in Å.
Space group C2/m (No. 12)
One atom of each set of equivalent atoms:
Te1 0.0000 0.0000 0.0000 [2 per cell]  6 O 2.17-2.19
S1 0.0881 0.5000 0.8415 [4 per cell]  4 O 1.42-1.54
I1 0.0000 0.0000 0.5000 [2 per cell]  4 O 3.69
O1 0.0149 0.2776 0.1454 [8 per cell]  1 S 1.52
O2 0.1346 0.5000 0.7274 [4 per cell]  1 S 1.42
O3 0.2336 0.5000 0.9597 [4 per cell]  1 S 1.54

DFT (PBE) results for a relaxed structure of CaAl4Tl4O12.

Computed properties:
As for the crystal system: monoclinic. Its raw formation energy is -1.89 eV/atom.

Lattice parameters (Å, degrees): 5.2600 6.4562 8.7269 90.00 104.80 90.00
Last column: nearest neighbours and their distance in Å.
Space group Pm (No. 6)
One atom of each set of equivalent atoms:
Ca1 0.0000 0.0000 0.0000 [1 per cell]  5 O 2.31-2.38
Al1 0.4245 0.2535 0.7891 [2 per cell]  4 O 1.77-1.86
Al2 0.6086 0.2522 0.1825 [2 per cell]  5 O 1.83-1.98
Tl1 0.2392 0.0000 0.3871 [1 per cell]  4 O 2.24-2.29
Tl2 0.2702 0.5000 0.3911 [1 per cell]  5 O 2.22-2.46
Tl3 0.8615 0.0000 0.5837 [1 per cell]  5 O 2.47-2.65
Tl4 0.9917 0.5000 0.9524 [1 per cell]  5 O 2.21-2.46
O1 0.1093 0.2336 0.8262 [2 per cell]  1 Al 1.77
O2 0.4219 0.5000 0.1464 [1 per cell]  2 Al 1.86
O3 0.4322 0.5000 0.6880 [1 per cell]  2 Al 1.83
O4 0.4474 0.0000 0.1390 [1 per cell]  2 Al 1.83
O5 0.4851 0.0000 0.7044 [1 per cell]  2 Al 1.86
O6 0.5500 0.2414 0.3971 [2 per cell]  1 Al 1.98
O7 0.6742 0.2633 0.9712 [2 per cell]  2 Al 1.79-1.96
O8 0.9707 0.2564 0.2555 [2 per cell]  1 Al 1.85

DFT (PBE) results for a relaxed structure of Zn2W.

Computed properties:
The value obtained for the density of states at the Fermi level is 13.763 states/eV/cell. As for the crystal system: cubic. As for the formation energy: 34.80 kcal/mol of atoms.

Lattice parameters (Å, degrees): 6.1739 6.1739 6.1739 90.00 90.00 90.00
Last column: nearest neighbours and their distance in Å.
Space group Pa-3 (No. 205)
One atom of each set of equivalent atoms:
Zn1 0.1263 0.1263 0.1263 [8 per cell]  3 W 2.56, 1 Zn 2.70
W1 0.0000 0.0000 0.5000 [4 per cell]  6 Zn 2.56

DFT (PBE) results for a relaxed structure of TaV3In.

Computed properties:
The value obtained for the density of states at the Fermi level is 6.673 states/eV/cell. As for the crystal system: cubic. As for the formation energy: 45.77 kcal/mol of atoms.

Lattice parameters (Å, degrees): 4.7049 4.7049 4.7049 90.00 90.00 90.00
Last column: nearest neighbours and their distance in Å.
Space group Pm-3m (No. 221)
One atom of each set of equivalent atoms:
Ta1 0.0000 0.0000 0.0000 [1 per cell]  12 V 3.33
V1 0.0000 0.5000 0.5000 [3 per cell]  2 In 2.35
In1 0.5000 0.5000 0.5000 [1 per cell]  6 V 2.35

DFT (PBE) results for a relaxed structure of TcAsPt.

Computed properties:
The value obtained for the density of states at the Fermi level is 2.889 states/eV/cell. As for the crystal system: trigonal. As for the formation energy: 1.24 kcal/mol of atoms.

Lattice parameters (Å, degrees): 4.1595 4.1595 3.1645 90.00 90.00 120.00
Last column: nearest neighbours and their distance in Å.
Space group P3m1 (No. 156)
One atom of each set of equivalent atoms:
Tc1 0.0000 0.0000 0.0000 [1 per cell]  3 As 2.46
As1 0.3333 0.6667 0.1706 [1 per cell]  3 Tc 2.46, 3 Pt 2.63
Pt1 0.6667 0.3333 0.5095 [1 per cell]  3 As 2.63, 6 Tc 2.86-2.89

DFT (PBE) results for a relaxed structure of SrAl2MoPb.

Computed properties:
The value obtained for the density of states at the Fermi level is 4.999 states/eV/cell. As for the crystal system: tetragonal. As for the formation energy: 41.78 kcal/mol of atoms.

Lattice parameters (Å, degrees): 5.6116 5.6116 5.0445 90.00 90.00 90.00
Last column: nearest neighbours and their distance in Å.
Space group P4/mmm (No. 123)
One atom of each set of equivalent atoms:
Sr1 0.0000 0.0000 0.0000 [1 per cell]  2 Mo 2.52, 4 Al 2.81
Al1 0.0000 0.5000 0.0000 [2 per cell]  2 Sr 2.81
Mo1 0.0000 0.0000 0.5000 [1 per cell]  2 Sr 2.52
Pb1 0.5000 0.5000 0.5000 [1 per cell]  8 Al 3.77, 4 Mo 3.97

DFT (PBE) results for a relaxed structure of LiBeSe2.

Computed properties:
The value obtained for the density of states at the Fermi level is 1.483 states/eV/cell. As for the crystal system: monoclinic. Its raw formation energy is -0.25 eV/atom.

Lattice parameters (Å, degrees): 7.1934 7.0755 2.8414 90.00 108.26 90.00
Last column: nearest neighbours and their distance in Å.
Space group C2/m (No. 12)
One atom of each set of equivalent atoms:
Li1 0.0000 0.0000 0.0000 [2 per cell]  4 Se 2.52
Be1 0.0000 0.5000 0.0000 [2 per cell]  4 Se 2.52
Se1 0.2500 0.2500 0.0000 [4 per cell]  2 Li 2.52, 2 Be 2.52

DFT (PBE) results for a relaxed structure of Zr3Cl.

Computed properties:
The value obtained for the density of states at the Fermi level is 8.828 states/eV/cell. As for the crystal system: orthorhombic. Its raw formation energy is 0.01 eV/atom.

Lattice parameters (Å, degrees): 6.3315 8.5820 3.2025 90.00 90.00 90.00
Last column: nearest neighbours and their distance in Å.
Space group Cmmm (No. 65)
One atom of each set of equivalent atoms:
Zr1 0.0000 0.0000 0.0000 [2 per cell]  10 Zr 3.11-3.20, 2 Cl 3.17
Zr2 0.2500 0.2500 0.5000 [4 per cell]  8 Zr 3.11-3.20, 4 Cl 3.11
Cl1 0.0000 0.5000 0.0000 [2 per cell]  10 Zr 3.11-3.17, 2 Cl 3.20

DFT (PBE) results for a relaxed structure of TaTl2Sb.

Computed properties:
The value obtained for the density of states at the Fermi level is 3.254 states/eV/cell. As for the crystal system: monoclinic. Its raw formation energy is 0.57 eV/atom.

Lattice parameters (Å, degrees): 3.2372 5.5364 5.6857 90.00 101.37 90.00
Last column: nearest neighbours and their distance in Å.
Space group P2/m (No. 10)
One atom of each set of equivalent atoms:
Ta1 0.0000 0.0000 0.0000 [1 per cell]  2 Sb 2.84, 4 Tl 3.17
Tl1 0.3328 0.5000 0.2354 [2 per cell]  5 Tl 2.99-3.24, 2 Ta 3.17
Sb1 0.0000 0.0000 0.5000 [1 per cell]  2 Ta 2.84

Number 2 is which compound?
NaSm3Pb12